A relaxed MgBe2Ir crystal. Source: Alexandria, functional PBE.

Computed properties:
The calculation puts the energy at -4.672 eV/atom. Its energy of formation is -0.195 eV/atom.

The structure in CIF format:
```
data_MgBe2Ir
_chemical_formula_sum 'Mg1 Be2 Ir1'
_cell_length_a 2.9229
_cell_length_b 2.9229
_cell_length_c 5.9809
_cell_angle_alpha 90.00
_cell_angle_beta 90.00
_cell_angle_gamma 90.00
_symmetry_space_group_name_H-M 'P 1'
_symmetry_Int_Tables_number 1
_symmetry_space_group_name_Hall 'P 1'
loop_
_atom_site_label
_atom_site_fract_x
_atom_site_fract_y
_atom_site_fract_z
Be1 0.0000 0.0000 0.0600
Be2 0.5000 0.5000 0.2575
Mg1 0.5000 0.5000 0.7458
Ir1 0.0000 0.0000 0.4367
```